DFT (PBE) results for a relaxed LaIr crystal.

- theoretical density (g/cm3) = 11.75
- DFT formation energy (meV/atom) = -275
- size of the total moment (μB per formula unit) = 0.0
- DOS(E_F) (states/eV/f.u.) = 2.3

Lattice parameters (Å, degrees): 8.6470 7.8788 5.3308 79.21 63.52 37.27
Fractional positions:
La 0.0452 0.7048 0.0452
La 0.2952 0.9548 0.2952
La 0.7048 0.0452 0.7048
La 0.9548 0.2952 0.9548
Ir 0.2850 0.2850 0.4650
Ir 0.4650 0.4650 0.2850
Ir 0.5350 0.5350 0.7150
Ir 0.7150 0.7150 0.5350

DFT (PBE) results for a relaxed AcZn8Ag2 crystal.

- theoretical density (g/cm3) = 6.28
- DFT formation energy (meV/atom) = 178
- size of the total moment (μB per formula unit) = 0.0
- DOS(E_F) (states/eV/f.u.) = 4.6

Lattice parameters (Å, degrees): 5.1229 5.1229 9.7288 90.00 90.00 90.00
Fractional positions:
Ac 0.0000 0.0000 0.0000
Zn 0.2520 0.2520 0.2823
Zn 0.2520 0.2520 0.7177
Zn 0.2520 0.7480 0.2823
Zn 0.2520 0.7480 0.7177
Zn 0.7480 0.2520 0.2823
Zn 0.7480 0.2520 0.7177
Zn 0.7480 0.7480 0.2823
Zn 0.7480 0.7480 0.7177
Ag 0.0000 0.5000 0.5000
Ag 0.5000 0.0000 0.5000

DFT (PBE) results for a relaxed SrAcAlAu crystal.

- theoretical density (g/cm3) = 7.42
- DFT formation energy (meV/atom) = -429
- size of the total moment (μB per formula unit) = 0.0
- DOS(E_F) (states/eV/f.u.) = 4.3

Lattice parameters (Å, degrees): 7.8417 7.8417 7.8417 90.00 90.00 90.00
Fractional positions:
Sr 0.0000 0.0000 0.0000
Sr 0.0000 0.5000 0.5000
Sr 0.5000 0.0000 0.5000
Sr 0.5000 0.5000 0.0000
Ac 0.0000 0.0000 0.5000
Ac 0.0000 0.5000 0.0000
Ac 0.5000 0.0000 0.0000
Ac 0.5000 0.5000 0.5000
Al 0.2500 0.2500 0.7500
Al 0.2500 0.7500 0.2500
Al 0.7500 0.2500 0.2500
Al 0.7500 0.7500 0.7500
Au 0.2500 0.2500 0.2500
Au 0.2500 0.7500 0.7500
Au 0.7500 0.2500 0.7500
Au 0.7500 0.7500 0.2500

DFT (PBE) results for a relaxed UGaRu2 crystal.

- theoretical density (g/cm3) = 12.83
- DFT formation energy (meV/atom) = -405
- size of the total moment (μB per formula unit) = 0.9
- DOS(E_F) (states/eV/f.u.) = 5.1

Lattice parameters (Å, degrees): 4.2862 4.2862 3.5935 90.00 90.00 90.00
Fractional positions:
U 0.0000 0.0000 0.0000
Ga 0.5000 0.5000 0.0000
Ru 0.0000 0.5000 0.5000
Ru 0.5000 0.0000 0.5000

DFT (PBE) results for a relaxed CaPSe crystal.

- theoretical density (g/cm3) = 3.10
- formation energy without anion corrections (eV/atom) = -0.71
- size of the total moment (μB per formula unit) = 0.2
- DOS(E_F) (states/eV/f.u.) = 2.0

Lattice parameters (Å, degrees): 10.6466 4.3114 6.9967 90.00 90.00 90.00
Fractional positions:
Ca 0.1601 0.0000 0.0000
Ca 0.1601 0.5000 0.5000
Ca 0.8399 0.0000 0.0000
Ca 0.8399 0.5000 0.5000
P 0.0000 0.0000 0.3531
P 0.0000 0.5000 0.8531
P 0.5000 0.0000 0.8466
P 0.5000 0.5000 0.3466
Se 0.3332 0.0000 0.6547
Se 0.3332 0.5000 0.1547
Se 0.6668 0.0000 0.6547
Se 0.6668 0.5000 0.1547

DFT (PBE) results for a relaxed PaAlFeSi crystal.

- theoretical density (g/cm3) = 7.43
- formation energy without anion corrections (eV/atom) = -0.16
- size of the total moment (μB per formula unit) = 0.0
- DOS(E_F) (states/eV/f.u.) = 2.5

Lattice parameters (Å, degrees): 6.3250 4.0897 6.4090 90.00 112.72 90.00
Fractional positions:
Pa 0.0000 0.0000 0.0000
Pa 0.5000 0.5000 0.0000
Al 0.0059 0.5000 0.6163
Al 0.5059 0.0000 0.6163
Fe 0.3587 0.0000 0.2151
Fe 0.8587 0.5000 0.2151
Si 0.2781 0.5000 0.3702
Si 0.7781 0.0000 0.3702

DFT (PBE) results for a relaxed LiPmHo2Pt4 crystal.

- theoretical density (g/cm3) = 12.87
- DFT formation energy (meV/atom) = -1048
- size of the total moment (μB per formula unit) = 0.0
- DOS(E_F) (states/eV/f.u.) = 3.7

Lattice parameters (Å, degrees): 8.6114 8.6114 8.6114 32.39 32.39 32.39
Fractional positions:
Li 0.0000 0.0000 0.0000
Pm 0.5000 0.5000 0.5000
Ho 0.2616 0.2616 0.2616
Ho 0.7384 0.7384 0.7384
Pt 0.1124 0.1124 0.1124
Pt 0.3776 0.3776 0.3776
Pt 0.6224 0.6224 0.6224
Pt 0.8876 0.8876 0.8876

DFT (PBE) results for a relaxed Mg2In2Pb crystal.

- theoretical density (g/cm3) = 6.30
- relative energy among the computed polymorphs (meV/atom) = 0.0
- DFT formation energy (meV/atom) = -46
- size of the total moment (μB per formula unit) = 0.0
- DOS(E_F) (states/eV/f.u.) = 1.9

Lattice parameters (Å, degrees): 3.4245 21.9781 3.4023 90.00 90.00 90.00
Fractional positions:
Mg 0.0000 0.0987 0.0000
Mg 0.0000 0.9013 0.0000
Mg 0.5000 0.4013 0.0000
Mg 0.5000 0.5987 0.0000
In 0.0000 0.3106 0.5000
In 0.0000 0.6894 0.5000
In 0.5000 0.1894 0.5000
In 0.5000 0.8106 0.5000
Pb 0.0000 0.5000 0.5000
Pb 0.5000 0.0000 0.5000

DFT (PBE) results for a relaxed CaH2RhN crystal.

- theoretical density (g/cm3) = 5.11
- VASP energy (eV per atom) = -5.29
- size of the total moment (μB per formula unit) = 0.2
- DOS(E_F) (states/eV/f.u.) = 2.6

Lattice parameters (Å, degrees): 3.5992 3.5992 3.9895 90.00 90.00 90.00
Fractional positions:
Ca 0.0000 0.0000 0.0000
H 0.0000 0.5000 0.5000
H 0.5000 0.0000 0.5000
Rh 0.5000 0.5000 0.5000
N 0.5000 0.5000 0.0000

DFT (PBE) results for a relaxed Ba5SnI5 crystal.

- theoretical density (g/cm3) = 4.39
- formation energy without anion corrections (eV/atom) = -1.40
- size of the total moment (μB per formula unit) = 0.0
- DOS(E_F) (states/eV/f.u.) = 4.2

Lattice parameters (Å, degrees): 8.7621 8.7621 10.1268 107.03 107.03 47.66
Fractional positions:
Ba 0.0000 0.0000 0.0000
Ba 0.3441 0.3441 0.1594
Ba 0.3447 0.3447 0.6835
Ba 0.6553 0.6553 0.3165
Ba 0.6559 0.6559 0.8406
Sn 0.5000 0.5000 0.0000
I 0.1686 0.1686 0.8305
I 0.1761 0.1761 0.3375
I 0.5000 0.5000 0.5000
I 0.8239 0.8239 0.6625
I 0.8314 0.8314 0.1695